Entry 1:
Mg2CoMoN: relaxed, GGA-PBE.

Unit cell a=5.290 b=5.290 c=3.798 alpha=90.00 beta=90.00 gamma=90.00
Sites, in units of the cell vectors:
Mg1 0.000 0.500 0.000
Mg2 0.500 0.000 0.000
Co1 0.000 0.000 0.500
Mo1 0.500 0.500 0.000
N1 0.500 0.500 0.500

energy above the most stable polymorph in this dataset: 5.07 eV/f.u.
energy relative to the elements, uncorrected: 1.068 eV per atom

---

Entry 2:
Mg2CoMoN: relaxed, GGA-PBE.

Unit cell a=4.145 b=4.145 c=4.067 alpha=90.00 beta=90.00 gamma=90.00
Sites, in units of the cell vectors:
Mg1 0.000 0.500 0.000
Mg2 0.500 0.000 0.000
Co1 0.000 0.000 0.500
Mo1 0.500 0.500 0.500
N1 0.500 0.500 0.000

energy above the most stable polymorph in this dataset: 0.00 eV/f.u.
energy relative to the elements, uncorrected: 0.054 eV per atom

---

Entry 3:
Mg2CoMoOs: relaxed, GGA-PBE.

Unit cell a=4.391 b=4.391 c=4.490 alpha=90.00 beta=90.00 gamma=90.00
Sites, in units of the cell vectors:
Mg1 0.000 0.500 0.000
Mg2 0.500 0.000 0.000
Co1 0.000 0.000 0.000
Mo1 0.500 0.500 0.500
Os1 0.000 0.000 0.500

---

Entry 4:
MgCoMo2Pd: relaxed, GGA-PBE.

Unit cell a=4.418 b=4.418 c=4.553 alpha=90.00 beta=90.00 gamma=90.00
Sites, in units of the cell vectors:
Mg1 0.000 0.000 0.000
Co1 0.000 0.000 0.500
Mo1 0.000 0.500 0.500
Mo2 0.500 0.000 0.500
Pd1 0.500 0.500 0.000

---

no.,total moment (μB/cell),energy (eV per atom)
1,2.37,-4.822
2,1.75,-5.837
3,0.00,-5.314
4,0.00,-6.232